Crystalline YNbTcB2 at its relaxed geometry. Source: Alexandria via LeMat-Bulk, functional GGA-PBE.

Cell lengths 4.1764, 4.1764, 5.0262 Å; angles 90.00, 90.00, 90.00 degrees
Space group P4/mmm (No. 123)
Asymmetric unit:
1 Y 0.0000 0.0000 0.0000
2 Nb 0.5000 0.5000 0.0000
3 Tc 0.0000 0.0000 0.5000
4 B 0.0000 0.5000 0.5000

Output
Energy of formation from the pure elements, eV/atom: 1.201